VASP calculation (PBE+U) on an optimized crystal structure of Li4Mn3F10.

```
Li4Mn3F10
1.0
-1.114 5.035 0.239
-4.905 0.154 -2.454
-5.539 0.635 5.399
F Mn Li
10 3 4
direct
0.702 0.146 0.642
0.826 0.056 0.268
0.106 0.402 0.846
0.298 0.854 0.358
0.894 0.598 0.154
0.500 0.500 0.000
0.500 0.000 0.000
0.248 0.364 0.388
0.752 0.636 0.612
0.174 0.944 0.732
0.500 0.000 0.500
0.177 0.242 0.144
0.823 0.758 0.856
0.504 0.646 0.201
0.986 0.702 0.348
0.014 0.298 0.652
0.496 0.354 0.799
```

Offset from the most stable computed form in meV per atom: 0
Final energy in eV per cell: -95.22
Density of states at the Fermi level in states/eV per atom: 0.00